[1]
Ti3NbCo3 after structural relaxation. Source: Alexandria, functional PBE.

abc: 6.0148 6.0148 5.6831
angles: 96.96 96.96 96.11
Positions (direct):
Ti1 0.0404 0.4504 0.7405
Ti2 0.0523 0.0523 0.2793
Ti3 0.4504 0.0404 0.7405
Ti4 0.5496 0.9596 0.2595
Ti5 0.9477 0.9477 0.7207
Ti6 0.9596 0.5496 0.2595
Nb1 0.3738 0.3738 0.1229
Nb2 0.6262 0.6262 0.8771
Co1 0.2181 0.7819 0.0000
Co2 0.2687 0.7313 0.5000
Co3 0.3428 0.3428 0.5459
Co4 0.6572 0.6572 0.4541
Co5 0.7313 0.2687 0.5000
Co6 0.7819 0.2181 0.0000

Final energy = -112.2 eV/cell
ρ = 6.8 g/cm³

***

[2]
Ti2NbCo after structural relaxation. Source: Alexandria, functional PBE.

abc: 9.2848 9.2848 4.5101
angles: 90.00 90.00 161.34
Positions (direct):
Ti1 0.0555 0.9445 0.7500
Ti2 0.1611 0.8389 0.2500
Ti3 0.8389 0.1611 0.7500
Ti4 0.9445 0.0555 0.2500
Nb1 0.3103 0.6897 0.2500
Nb2 0.6897 0.3103 0.7500
Co1 0.4464 0.5536 0.7500
Co2 0.5536 0.4464 0.2500

ρ = 6.6 g/cm³
ΔE to the lowest computed polymorph = 116 meV/atom

***

[3]
TiNb2Co3 after structural relaxation. Source: Alexandria, functional PBE.

abc: 8.6374 8.6374 5.0003
angles: 90.00 90.00 152.16
Positions (direct):
Ti1 0.1846 0.8154 0.7500
Ti2 0.8154 0.1846 0.2500
Nb1 0.3579 0.6421 0.7500
Nb2 0.4591 0.5409 0.2500
Nb3 0.5409 0.4591 0.7500
Nb4 0.6421 0.3579 0.2500
Co1 0.0712 0.9288 0.0251
Co2 0.0712 0.9288 0.4749
Co3 0.2274 0.7726 0.2500
Co4 0.7726 0.2274 0.7500
Co5 0.9288 0.0712 0.5251
Co6 0.9288 0.0712 0.9749

Final energy = -99.2 eV/cell
ρ = 7.8 g/cm³

***

[4]
Ti2NbCo6 after structural relaxation. Source: Alexandria, functional PBE.

abc: 5.0287 5.0287 5.4187
angles: 90.36 90.36 59.88
Positions (direct):
Ti1 0.1672 0.1672 0.1607
Ti2 0.8328 0.8328 0.8393
Nb1 0.5000 0.5000 0.0000
Co1 0.1392 0.6811 0.3348
Co2 0.3188 0.3188 0.6627
Co3 0.3189 0.8608 0.6652
Co4 0.6811 0.1392 0.3348
Co5 0.6812 0.6812 0.3373
Co6 0.8608 0.3189 0.6652

Final energy = -68.9 eV/cell
ρ = 7.6 g/cm³

***

[5]
Ti2NbCo9 after structural relaxation. Source: Alexandria, functional PBE.

abc: 8.2082 8.2082 8.2082
angles: 33.14 33.14 33.14
Positions (direct):
Ti1 0.1385 0.1385 0.1385
Ti2 0.8615 0.8615 0.8615
Nb1 0.0000 0.0000 0.0000
Co1 0.0799 0.5872 0.5872
Co2 0.3350 0.3350 0.3350
Co3 0.4128 0.4128 0.9201
Co4 0.4128 0.9201 0.4128
Co5 0.5000 0.5000 0.5000
Co6 0.5872 0.0799 0.5872
Co7 0.5872 0.5872 0.0799
Co8 0.6650 0.6650 0.6650
Co9 0.9201 0.4128 0.4128

Final energy = -91.7 eV/cell
ρ = 8.1 g/cm³

***

[6]
TiNbCo6 after structural relaxation. Source: Alexandria, functional PBE.

abc: 6.2868 6.2868 10.2658
angles: 90.00 90.00 109.44
Positions (direct):
Ti1 0.0000 0.0000 0.2491
Ti2 0.0000 0.0000 0.7509
Ti3 0.2531 0.7469 0.0000
Ti4 0.7469 0.2531 0.0000
Nb1 0.2520 0.7480 0.5000
Nb2 0.5000 0.5000 0.2485
Nb3 0.5000 0.5000 0.7515
Nb4 0.7480 0.2520 0.5000
Co1 0.0000 0.0000 0.0000
Co2 0.0000 0.0000 0.5000
Co3 0.1208 0.3729 0.1235
Co4 0.1208 0.3729 0.8765
Co5 0.1233 0.3713 0.3735
Co6 0.1233 0.3713 0.6265
Co7 0.2482 0.7518 0.2475
Co8 0.2482 0.7518 0.7525
Co9 0.3713 0.1233 0.3735
Co10 0.3713 0.1233 0.6265
Co11 0.3729 0.1208 0.1235
Co12 0.3729 0.1208 0.8765
Co13 0.5000 0.5000 0.0000
Co14 0.5000 0.5000 0.5000
Co15 0.6271 0.8792 0.1235
Co16 0.6271 0.8792 0.8765
Co17 0.6287 0.8767 0.3735
Co18 0.6287 0.8767 0.6265
Co19 0.7518 0.2482 0.2475
Co20 0.7518 0.2482 0.7525
Co21 0.8767 0.6287 0.3735
Co22 0.8767 0.6287 0.6265
Co23 0.8792 0.6271 0.1235
Co24 0.8792 0.6271 0.8765

Final energy = -248.8 eV/cell
ρ = 8.6 g/cm³

***

[7]
Ti2NbCo after structural relaxation. Source: Alexandria, functional PBE.

abc: 3.0247 3.0247 6.7180
angles: 90.00 90.00 90.00
Positions (direct):
Ti1 0.0000 0.0000 0.2173
Ti2 0.0000 0.0000 0.7827
Nb1 0.5000 0.5000 0.5000
Co1 0.5000 0.5000 0.0000

ρ = 6.7 g/cm³
ΔE to the lowest computed polymorph = 0 meV/atom

***

[8]
Ti12Nb5Co3 after structural relaxation. Source: Alexandria, functional PBE.

abc: 12.6973 12.6973 12.6973
angles: 109.47 109.47 109.47
Positions (direct):
Ti1 0.0557 0.6324 0.3954
Ti2 0.0557 0.9233 0.6603
Ti3 0.0767 0.2370 0.1324
Ti4 0.0767 0.3397 0.9443
Ti5 0.1046 0.7370 0.6603
Ti6 0.1046 0.8676 0.4443
Ti7 0.1324 0.0767 0.2370
Ti8 0.1324 0.5557 0.8954
Ti9 0.1603 0.2370 0.6046
Ti10 0.1603 0.4233 0.5557
Ti11 0.2370 0.1324 0.0767
Ti12 0.2370 0.6046 0.1603
Ti13 0.2630 0.3397 0.8954
Ti14 0.2630 0.4233 0.3676
Ti15 0.3397 0.8954 0.2630
Ti16 0.3397 0.9443 0.0767
Ti17 0.3676 0.2630 0.4233
Ti18 0.3676 0.6046 0.9443
Ti19 0.3954 0.0557 0.6324
Ti20 0.3954 0.8397 0.7630
Ti21 0.4233 0.3676 0.2630
Ti22 0.4233 0.5557 0.1603
Ti23 0.4443 0.1046 0.8676
Ti24 0.4443 0.8397 0.5767
Ti25 0.5557 0.1603 0.4233
Ti26 0.5557 0.8954 0.1324
Ti27 0.5767 0.4443 0.8397
Ti28 0.5767 0.6324 0.7370
Ti29 0.6046 0.1603 0.2370
Ti30 0.6046 0.9443 0.3676
Ti31 0.6324 0.3954 0.0557
Ti32 0.6324 0.7370 0.5767
Ti33 0.6603 0.0557 0.9233
Ti34 0.6603 0.1046 0.7370
Ti35 0.7370 0.5767 0.6324
Ti36 0.7370 0.6603 0.1046
Ti37 0.7630 0.3954 0.8397
Ti38 0.7630 0.8676 0.9233
Ti39 0.8397 0.5767 0.4443
Ti40 0.8397 0.7630 0.3954
Ti41 0.8676 0.4443 0.1046
Ti42 0.8676 0.9233 0.7630
Ti43 0.8954 0.1324 0.5557
Ti44 0.8954 0.2630 0.3397
Ti45 0.9233 0.6603 0.0557
Ti46 0.9233 0.7630 0.8676
Ti47 0.9443 0.0767 0.3397
Ti48 0.9443 0.3676 0.6046
Nb1 0.0000 0.0000 0.0000
Nb2 0.0000 0.0000 0.5000
Nb3 0.0000 0.5000 0.0000
Nb4 0.0000 0.5000 0.5000
Nb5 0.1250 0.7500 0.8750
Nb6 0.1250 0.8750 0.2500
Nb7 0.2500 0.1250 0.8750
Nb8 0.2500 0.6250 0.3750
Nb9 0.3750 0.2500 0.6250
Nb10 0.3750 0.6250 0.7500
Nb11 0.5000 0.0000 0.0000
Nb12 0.5000 0.0000 0.5000
Nb13 0.5000 0.5000 0.0000
Nb14 0.5000 0.5000 0.5000
Nb15 0.6250 0.3750 0.2500
Nb16 0.6250 0.7500 0.3750
Nb17 0.7500 0.3750 0.6250
Nb18 0.7500 0.8750 0.1250
Nb19 0.8750 0.1250 0.7500
Nb20 0.8750 0.2500 0.1250
Co1 0.1250 0.2500 0.3750
Co2 0.1250 0.3750 0.7500
Co3 0.2500 0.3750 0.1250
Co4 0.2500 0.8750 0.6250
Co5 0.3750 0.1250 0.2500
Co6 0.3750 0.7500 0.1250
Co7 0.6250 0.2500 0.8750
Co8 0.6250 0.8750 0.7500
Co9 0.7500 0.1250 0.3750
Co10 0.7500 0.6250 0.8750
Co11 0.8750 0.6250 0.2500
Co12 0.8750 0.7500 0.6250

Final energy = -580.1 eV/cell
ρ = 5.1 g/cm³

***

no.,total magnetization (μB per atom)
1,0.000
2,0.000
3,0.000
4,0.417
5,0.599
6,0.543
7,0.000
8,0.234